# CeThSe3, relaxed, DFT PBE
data_CeThSe3
_cell_length_a 7.9405
_cell_length_b 4.1500
_cell_length_c 16.2122
_cell_angle_alpha 90.00
_cell_angle_beta 90.00
_cell_angle_gamma 90.00
_space_group_name_H-M_alt 'P n m a'
_space_group_IT_number 62
loop_
_space_group_symop_operation_xyz
'x,y,z'
'-x,-y,-z'
'-x+1/2,-y,z+1/2'
'x+1/2,y,-z+1/2'
'x+1/2,-y+1/2,-z+1/2'
'-x+1/2,y+1/2,z+1/2'
'-x,y+1/2,-z'
'x,-y+1/2,z'
loop_
_atom_site_label
_atom_site_fract_x
_atom_site_fract_y
_atom_site_fract_z
_atom_site_occupancy
Ce1 0.1022 0.2500 0.2078 1
Th1 0.2448 0.7500 0.4569 1
Se1 0.0043 0.2500 0.3978 1
Se2 0.1237 0.7500 0.0713 1
Se3 0.1718 0.2500 0.7778 1
# - D(E_F) (states/eV/cell) = 27.3
# - distance to the lowest polymorph of the same formula (kJ/mol of atoms) = 0.0
# - raw total energy (eV per cell) = -131.13
# - uncorrected formation energy (eV/atom) = -1.795